# CaZr2W | Alexandria | PBE-GGA | relaxed
data_CaZr2W
_chemical_formula_sum 'Ca2 Zr4 W2'
_symmetry_space_group_name_H-M 'C m m m'
_symmetry_Int_Tables_number 65
_symmetry_space_group_name_Hall '-C 2 2'
_cell_length_a 3.5979
_cell_length_b 5.1091
_cell_length_c 10.3076
_cell_angle_alpha 90.00
_cell_angle_beta 90.00
_cell_angle_gamma 90.00
loop_
_atom_site_label
_atom_site_fract_x
_atom_site_fract_y
_atom_site_fract_z
Ca1 0.0000 0.0000 0.0000
Zr1 0.0000 0.5000 0.2974
W1 0.0000 0.0000 0.5000
# ρ ... 7.1 Mg/m³
# DOS(E_F) ... 11.4 states/eV/cell
# ΔE_f ... 0.333 eV per atom

# Li2CaHg4Bi | Alexandria | PBE-GGA | relaxed
data_Li2CaHg4Bi
_chemical_formula_sum 'Li2 Ca1 Hg4 Bi1'
_symmetry_space_group_name_H-M 'P 4/m m m'
_symmetry_Int_Tables_number 123
_symmetry_space_group_name_Hall '-P 4 2'
_cell_length_a 4.4116
_cell_length_b 4.4116
_cell_length_c 10.5298
_cell_angle_alpha 90.00
_cell_angle_beta 90.00
_cell_angle_gamma 90.00
loop_
_atom_site_label
_atom_site_fract_x
_atom_site_fract_y
_atom_site_fract_z
Li1 0.0000 0.0000 0.1188
Ca1 0.5000 0.5000 0.5000
Hg1 0.0000 0.5000 0.2819
Bi1 0.5000 0.5000 0.0000
# ρ ... 8.6 Mg/m³
# DOS(E_F) ... 2.1 states/eV/cell
# ΔE_f ... -0.245 eV per atom